A plane-wave DFT calculation with PBE was carried out for a geometry-optimized TaNi2GeIr structure.

The structure in POSCAR format:
```
TaNi2GeIr
1.0
-2.033 3.827 -0.892
-4.300 -2.223 0.261
-0.203 0.901 4.327
Ta Ge Ir Ni
1 1 1 2
direct
0.000 0.000 0.000 Ta
0.000 0.500 0.000 Ge
0.500 0.500 0.500 Ir
0.000 0.000 0.500 Ni
0.500 0.000 0.000 Ni
```

Summary:
- Formation energy: 1.54 eV/atom
- SG: P4/mmm
- Total DFT energy (no corrections): -5.837 eV/atom

A plane-wave DFT calculation with PBE was carried out for a geometry-optimized Tl2CdPt structure.

The structure in POSCAR format:
```
Tl2CdPt
1.0
-3.224 9.495 2.671
-2.785 8.234 5.667
-0.251 9.549 4.054
Cd Tl Pt
1 2 1
direct
0.487 0.487 0.487 Cd
0.013 0.013 0.013 Tl
0.248 0.248 0.248 Tl
0.752 0.752 0.752 Pt
```

Summary:
- Formation energy: 0.06 eV/atom
- Offset from the most stable computed form: 0.135 eV/atom
- SG: R3m
- Total DFT energy (no corrections): -2.864 eV/atom

A plane-wave DFT calculation with PBE was carried out for a geometry-optimized PuAlCoTc structure.

The structure in POSCAR format:
```
PuAlCoTc
1.0
-0.380 -1.702 4.105
-1.361 -4.212 0.551
2.876 -3.108 1.401
Pu Co Tc Al
1 1 1 1
direct
0.500 0.500 0.500 Pu
0.750 0.750 0.750 Co
0.250 0.250 0.250 Tc
0.000 0.000 0.000 Al
```

Summary:
- Formation energy: -0.21 eV/atom
- SG: F-43m
- Total DFT energy (no corrections): -9.099 eV/atom

A plane-wave DFT calculation with PBE was carried out for a geometry-optimized Eu2DyHg structure.

The structure in POSCAR format:
```
Eu2DyHg
1.0
-5.189 1.967 0.941
-3.367 -2.595 3.689
-1.228 2.466 4.908
Hg Eu Dy
1 2 1
direct
0.500 0.500 0.500 Hg
0.750 0.750 0.750 Eu
0.250 0.250 0.250 Eu
0.000 0.000 0.000 Dy
```

Summary:
- Formation energy: -0.03 eV/atom
- Offset from the most stable computed form: 0.157 eV/atom
- SG: Fm-3m
- Total DFT energy (no corrections): -6.391 eV/atom

A plane-wave DFT calculation with PBE was carried out for a geometry-optimized ZrVCr structure.

The structure in POSCAR format:
```
ZrVCr
1.0
-0.376 3.237 4.214
-2.952 -1.817 1.133
5.983 -6.412 5.303
V Cr Zr
4 4 4
direct
0.961 0.000 0.268 V
0.221 0.000 0.693 V
0.221 0.500 0.193 V
0.961 0.500 0.768 V
0.468 0.500 0.765 Cr
0.468 0.000 0.265 Cr
0.702 0.500 0.326 Cr
0.702 0.000 0.826 Cr
0.215 0.500 0.474 Zr
0.215 0.000 0.974 Zr
0.713 0.500 0.048 Zr
0.713 0.000 0.548 Zr
```

Summary:
- Formation energy: 0.11 eV/atom
- Offset from the most stable computed form: 0.133 eV/atom
- SG: Cm
- Total DFT energy (no corrections): -8.990 eV/atom

A plane-wave DFT calculation with PBE was carried out for a geometry-optimized Zr4AlCu2 structure.

The structure in POSCAR format:
```
Zr4AlCu2
1.0
-2.289 -1.919 0.487
2.299 -0.809 -1.792
17.137 -13.338 28.008
Cu Zr Al
4 8 2
direct
0.666 0.333 0.748 Cu
0.666 0.332 0.107 Cu
0.334 0.667 0.248 Cu
0.334 0.668 0.607 Cu
0.000 0.000 0.043 Zr
0.333 0.667 0.463 Zr
0.000 0.000 0.543 Zr
0.667 0.333 0.963 Zr
0.000 0.999 0.811 Zr
0.332 0.664 0.685 Zr
0.668 0.336 0.185 Zr
0.000 0.001 0.311 Zr
0.000 0.001 0.893 Al
0.000 0.999 0.393 Al
```

Summary:
- Formation energy: 0.22 eV/atom
- Offset from the most stable computed form: 0.389 eV/atom
- SG: Cmc2_1
- Total DFT energy (no corrections): -6.369 eV/atom

A plane-wave DFT calculation with PBE was carried out for a geometry-optimized Ac3CdCu2O9 structure.

The structure in POSCAR format:
```
Ac3CdCu2O9
1.0
-4.240 -3.769 -0.197
5.051 -1.517 2.100
-2.081 2.004 6.451
O Cu Cd Ac
9 2 1 3
direct
0.500 0.500 0.000 O
0.827 0.173 0.684 O
0.500 0.000 0.000 O
0.346 0.173 0.684 O
0.173 0.346 0.316 O
0.654 0.827 0.316 O
0.827 0.654 0.684 O
0.173 0.827 0.316 O
0.000 0.500 0.000 O
0.667 0.333 0.840 Cu
0.333 0.667 0.160 Cu
0.000 0.000 0.500 Cd
0.000 0.000 0.000 Ac
0.667 0.333 0.317 Ac
0.333 0.667 0.683 Ac
```

Summary:
- SG: P-3m1
- Total DFT energy (no corrections): -6.342 eV/atom

A plane-wave DFT calculation with PBE was carried out for a geometry-optimized Mn2HgPd9 structure.

The structure in POSCAR format:
```
Mn2HgPd9
1.0
3.958 0.000 0.000
0.000 3.958 0.000
0.000 0.000 11.950
Mn Pd Hg
2 9 1
direct
0.000 0.000 0.336 Mn
0.000 0.000 0.664 Mn
0.500 0.500 0.661 Pd
0.000 0.500 0.500 Pd
0.500 0.500 0.339 Pd
0.500 0.500 0.000 Pd
0.500 0.000 0.500 Pd
0.500 0.000 0.823 Pd
0.000 0.500 0.177 Pd
0.500 0.000 0.177 Pd
0.000 0.500 0.823 Pd
0.000 0.000 0.000 Hg
```

Summary:
- Formation energy: -0.19 eV/atom
- SG: P4/mmm
- Total DFT energy (no corrections): -5.633 eV/atom

A plane-wave DFT calculation with PBE was carried out for a geometry-optimized TbPrDy2Sc4 structure.

The structure in POSCAR format:
```
TbPrDy2Sc4
1.0
-10.625 -3.405 -6.643
0.960 -6.584 -1.730
5.323 5.157 10.657
Dy Tb Sc Pr
4 2 8 2
direct
0.500 0.000 0.500 Dy
0.500 0.500 0.000 Dy
0.000 0.000 0.500 Dy
0.500 0.000 0.000 Dy
0.000 0.500 0.000 Tb
0.000 0.500 0.500 Tb
0.333 0.418 0.585 Sc
0.833 0.918 0.085 Sc
0.167 0.082 0.915 Sc
0.833 0.418 0.084 Sc
0.667 0.082 0.416 Sc
0.167 0.582 0.916 Sc
0.667 0.582 0.415 Sc
0.333 0.918 0.584 Sc
0.500 0.500 0.500 Pr
0.000 0.000 0.000 Pr
```

Summary:
- Formation energy: 0.05 eV/atom
- SG: P-1
- Total DFT energy (no corrections): -5.441 eV/atom

A plane-wave DFT calculation with PBE was carried out for a geometry-optimized Ba12Br3O5 structure.

The structure in POSCAR format:
```
Ba12Br3O5
1.0
15.556 0.000 0.000
-5.185 14.666 0.000
-5.185 -7.333 12.702
O Ba Br
20 48 12
direct
0.000 0.500 0.500 O
0.500 0.500 0.500 O
0.750 0.625 0.375 O
0.750 0.125 0.875 O
0.250 0.375 0.625 O
0.500 0.000 0.500 O
0.375 0.250 0.125 O
0.500 0.500 0.000 O
0.625 0.875 0.250 O
0.500 0.000 0.000 O
0.875 0.625 0.750 O
0.125 0.750 0.375 O
0.000 0.000 0.000 O
0.625 0.750 0.875 O
0.375 0.125 0.750 O
0.125 0.375 0.250 O
0.875 0.250 0.625 O
0.250 0.875 0.125 O
0.000 0.500 0.000 O
0.000 0.000 0.500 O
0.396 0.388 0.583 Ba
0.917 0.813 0.805 Ba
0.195 0.509 0.612 Ba
0.104 0.917 0.112 Ba
0.417 0.112 0.604 Ba
0.813 0.896 0.009 Ba
0.805 0.313 0.917 Ba
0.805 0.491 0.388 Ba
0.509 0.195 0.112 Ba
0.604 0.991 0.687 Ba
0.083 0.187 0.195 Ba
0.491 0.687 0.104 Ba
0.583 0.695 0.687 Ba
0.187 0.104 0.991 Ba
0.313 0.509 0.396 Ba
0.695 0.112 0.009 Ba
0.417 0.305 0.313 Ba
0.687 0.195 0.583 Ba
0.991 0.604 0.187 Ba
0.888 0.583 0.896 Ba
0.888 0.305 0.491 Ba
0.396 0.009 0.313 Ba
0.313 0.805 0.417 Ba
0.813 0.917 0.305 Ba
0.305 0.417 0.813 Ba
0.509 0.313 0.896 Ba
0.195 0.687 0.083 Ba
0.112 0.695 0.509 Ba
0.917 0.104 0.612 Ba
0.009 0.612 0.695 Ba
0.388 0.991 0.805 Ba
0.104 0.187 0.491 Ba
0.388 0.396 0.083 Ba
0.083 0.896 0.388 Ba
0.687 0.491 0.604 Ba
0.604 0.612 0.417 Ba
0.896 0.083 0.888 Ba
0.991 0.388 0.305 Ba
0.305 0.888 0.991 Ba
0.695 0.583 0.187 Ba
0.112 0.417 0.104 Ba
0.896 0.813 0.509 Ba
0.612 0.604 0.917 Ba
0.491 0.805 0.888 Ba
0.583 0.888 0.396 Ba
0.612 0.009 0.195 Ba
0.187 0.083 0.695 Ba
0.009 0.396 0.813 Ba
0.750 0.875 0.625 Br
0.125 0.875 0.750 Br
0.875 0.125 0.250 Br
0.250 0.625 0.875 Br
0.250 0.125 0.375 Br
0.875 0.750 0.125 Br
0.375 0.625 0.250 Br
0.625 0.250 0.375 Br
0.625 0.375 0.750 Br
0.375 0.750 0.625 Br
0.125 0.250 0.875 Br
0.750 0.375 0.125 Br
```

Summary:
- SG: Ia-3d
- Total DFT energy (no corrections): -4.192 eV/atom

A plane-wave DFT calculation with PBE was carried out for a geometry-optimized TiGa3O structure.

The structure in POSCAR format:
```
TiGa3O
1.0
5.052 0.000 0.000
0.000 5.052 0.000
0.000 0.000 5.052
Ga O Ti
3 1 1
direct
0.500 0.000 0.000 Ga
0.000 0.500 0.000 Ga
0.000 0.000 0.500 Ga
0.500 0.500 0.500 O
0.000 0.000 0.000 Ti
```

Summary:
- Offset from the most stable computed form: 1.131 eV/atom
- SG: Pm-3m
- Total DFT energy (no corrections): -3.466 eV/atom

A plane-wave DFT calculation with PBE was carried out for a geometry-optimized InCoHg2 structure.

The structure in POSCAR format:
```
InCoHg2
1.0
4.808 0.000 0.000
2.404 4.164 0.000
2.404 1.388 3.926
Hg Co In
2 1 1
direct
0.000 0.000 0.000 Hg
0.250 0.250 0.250 Hg
0.500 0.500 0.500 Co
0.750 0.750 0.750 In
```

Summary:
- Formation energy: 0.49 eV/atom
- SG: F-43m
- Total DFT energy (no corrections): -2.119 eV/atom

A plane-wave DFT calculation with PBE was carried out for a geometry-optimized Tb4AlCd3 structure.

The structure in POSCAR format:
```
Tb4AlCd3
1.0
3.619 0.000 0.000
0.000 4.827 0.000
0.000 0.000 12.052
Cd Tb Al
3 4 1
direct
0.000 0.500 0.572 Cd
0.000 0.000 0.427 Cd
0.500 0.000 0.931 Cd
0.500 0.000 0.662 Tb
0.000 0.000 0.157 Tb
0.000 0.500 0.844 Tb
0.500 0.500 0.335 Tb
0.500 0.500 0.072 Al
```

Summary:
- Formation energy: -0.28 eV/atom
- Offset from the most stable computed form: 0.057 eV/atom
- SG: Pmm2
- Total DFT energy (no corrections): -3.408 eV/atom

A plane-wave DFT calculation with PBE was carried out for a geometry-optimized NaHg2Ir structure.

The structure in POSCAR format:
```
NaHg2Ir
1.0
4.646 0.000 0.000
0.000 4.646 0.000
2.323 2.323 9.164
Hg Ir Na
4 2 2
direct
0.875 0.934 0.750 Hg
0.375 0.316 0.750 Hg
0.066 0.625 0.250 Hg
0.684 0.125 0.250 Hg
0.000 0.000 0.000 Ir
0.750 0.250 0.500 Ir
0.250 0.750 0.500 Na
0.500 0.500 0.000 Na
```

Summary:
- Formation energy: 0.49 eV/atom
- Offset from the most stable computed form: 0.293 eV/atom
- SG: I-42d
- Total DFT energy (no corrections): -2.204 eV/atom

A plane-wave DFT calculation with PBE was carried out for a geometry-optimized Sr3CaBi2S structure.

The structure in POSCAR format:
```
Sr3CaBi2S
1.0
5.297 0.000 0.000
0.000 5.488 0.000
-2.649 -2.744 8.806
Bi Sr S Ca
2 3 1 1
direct
0.366 0.366 0.733 Bi
0.634 0.634 0.267 Bi
0.826 0.826 0.651 Sr
0.000 0.500 0.000 Sr
0.174 0.174 0.349 Sr
0.000 0.000 0.000 S
0.500 0.000 0.000 Ca
```

Summary:
- SG: Immm
- Total DFT energy (no corrections): -3.922 eV/atom

A plane-wave DFT calculation with PBE was carried out for a geometry-optimized Eu3Tl5Br12 structure.

The structure in POSCAR format:
```
Eu3Tl5Br12
1.0
-10.679 11.577 2.999
0.156 -3.188 -15.712
-4.047 -13.233 8.098
Br Tl Eu
48 20 12
direct
0.763 0.330 0.894 Br
0.934 0.369 0.263 Br
0.869 0.263 0.434 Br
0.170 0.106 0.737 Br
0.394 0.263 0.330 Br
0.237 0.566 0.631 Br
0.606 0.869 0.436 Br
0.263 0.869 0.934 Br
0.369 0.436 0.106 Br
0.936 0.106 0.869 Br
0.064 0.894 0.131 Br
0.737 0.606 0.170 Br
0.131 0.394 0.064 Br
0.830 0.894 0.263 Br
0.566 0.330 0.936 Br
0.936 0.830 0.566 Br
0.434 0.670 0.064 Br
0.763 0.434 0.369 Br
0.131 0.737 0.566 Br
0.066 0.436 0.830 Br
0.066 0.631 0.737 Br
0.869 0.606 0.936 Br
0.434 0.763 0.869 Br
0.737 0.131 0.066 Br
0.064 0.170 0.434 Br
0.106 0.936 0.369 Br
0.670 0.434 0.564 Br
0.606 0.737 0.670 Br
0.670 0.237 0.606 Br
0.394 0.131 0.564 Br
0.330 0.763 0.394 Br
0.564 0.631 0.394 Br
0.631 0.564 0.894 Br
0.566 0.237 0.131 Br
0.436 0.066 0.330 Br
0.436 0.369 0.606 Br
0.106 0.170 0.237 Br
0.263 0.394 0.830 Br
0.237 0.670 0.106 Br
0.631 0.066 0.237 Br
0.564 0.934 0.670 Br
0.330 0.566 0.436 Br
0.894 0.064 0.631 Br
0.830 0.936 0.066 Br
0.934 0.564 0.170 Br
0.894 0.830 0.763 Br
0.369 0.934 0.763 Br
0.170 0.064 0.934 Br
0.625 0.875 0.250 Tl
0.375 0.250 0.125 Tl
0.500 0.000 0.500 Tl
0.375 0.125 0.750 Tl
0.000 0.000 0.500 Tl
0.500 0.500 0.500 Tl
0.875 0.625 0.750 Tl
0.625 0.750 0.875 Tl
0.000 0.000 0.000 Tl
0.750 0.625 0.375 Tl
0.000 0.500 0.500 Tl
0.750 0.125 0.875 Tl
0.125 0.375 0.250 Tl
0.125 0.750 0.375 Tl
0.000 0.500 0.000 Tl
0.875 0.250 0.625 Tl
0.500 0.500 0.000 Tl
0.250 0.875 0.125 Tl
0.250 0.375 0.625 Tl
0.500 0.000 0.000 Tl
0.875 0.125 0.250 Eu
0.750 0.875 0.625 Eu
0.375 0.750 0.625 Eu
0.250 0.625 0.875 Eu
0.375 0.625 0.250 Eu
0.125 0.250 0.875 Eu
0.125 0.875 0.750 Eu
0.875 0.750 0.125 Eu
0.625 0.250 0.375 Eu
0.625 0.375 0.750 Eu
0.250 0.125 0.375 Eu
0.750 0.375 0.125 Eu
```

Summary:
- SG: Ia-3d
- Total DFT energy (no corrections): -4.374 eV/atom

A plane-wave DFT calculation with PBE was carried out for a geometry-optimized Y2CrP structure.

The structure in POSCAR format:
```
Y2CrP
1.0
-3.298 -1.240 8.288
-2.534 -2.567 -1.392
8.353 -6.584 -3.064
Cr Y P
4 8 4
direct
0.809 0.000 0.579 Cr
0.714 0.500 0.635 Cr
0.714 0.000 0.135 Cr
0.809 0.500 0.079 Cr
0.088 0.500 0.761 Y
0.317 0.000 0.075 Y
0.853 0.500 0.377 Y
0.482 0.000 0.863 Y
0.317 0.500 0.575 Y
0.853 0.000 0.877 Y
0.482 0.500 0.363 Y
0.088 0.000 0.261 Y
0.072 0.000 0.560 P
0.072 0.500 0.060 P
0.551 0.500 0.099 P
0.551 0.000 0.599 P
```

Summary:
- Formation energy: -0.56 eV/atom
- SG: Cm
- Total DFT energy (no corrections): -7.548 eV/atom